# CsBa3Os | Alexandria via LeMat-Bulk | GGA-PBEsol | relaxed
# **Magnetization**: 2.01 μB/f.u.
# **Total DFT energy (no corrections)**: -0.1493 Ry per atom
data_CsBa3Os
_chemical_formula_sum 'Cs1 Ba3 Os1'
_symmetry_space_group_name_H-M 'P m -3 m'
_symmetry_Int_Tables_number 221
_symmetry_space_group_name_Hall '-P 4 2 3'
_cell_length_a 6.112
_cell_length_b 6.112
_cell_length_c 6.112
_cell_angle_alpha 90.00
_cell_angle_beta 90.00
_cell_angle_gamma 90.00
loop_
_atom_site_label
_atom_site_fract_x
_atom_site_fract_y
_atom_site_fract_z
_atom_site_occupancy
Cs1 0.000 0.000 0.000 1
Ba1 0.000 0.000 0.500 1
Os1 0.500 0.500 0.500 1